# 1
Material: RuSe2BrN
Method: DFT, GGA-PBE
State: optimized geometry

Results
DFT total energy	-0.1230	Ha/atom
E above lowest polymorph	1370.0	meV/atom
formation energy without anion corrections	1.901	eV/atom

abc: 5.2259 5.2259 3.6007
angles: 90.00 90.00 90.00
Closest atoms and distances in Å follow each position.
Positions (direct):
Ru 0.0000 0.0000 0.0000  8 Se 3.17
Se 0.0000 0.5000 0.5000  2 Br 2.61
Se 0.5000 0.0000 0.5000  2 Br 2.61
Br 0.5000 0.5000 0.5000  2 N 1.80
N 0.5000 0.5000 0.0000  2 Br 1.80



# 2
Material: RuSe2BrN
Method: DFT, GGA-PBE
State: optimized geometry

Results
DFT total energy	-0.1347	Ha/atom
E above lowest polymorph	1053.3	meV/atom
formation energy without anion corrections	1.584	eV/atom

abc: 4.7380 4.7380 5.1300
angles: 90.00 90.00 90.00
Closest atoms and distances in Å follow each position.
Positions (direct):
Ru 0.0000 0.0000 0.0000  4 Se 2.37, 2 Br 2.56
Se 0.0000 0.5000 0.0000  2 Ru 2.37
Se 0.5000 0.0000 0.0000  2 Ru 2.37
Br 0.0000 0.0000 0.5000  2 Ru 2.56
N 0.5000 0.5000 0.5000  4 Br 3.35, 8 Se 3.49



# 3
Material: RuSeBr2N
Method: DFT, GGA-PBE
State: optimized geometry

Results
DFT total energy	-0.1227	Ha/atom
E above lowest polymorph	40.5	meV/atom
formation energy without anion corrections	1.547	eV/atom

abc: 5.0807 5.0807 4.6499
angles: 90.00 90.00 90.00
Closest atoms and distances in Å follow each position.
Positions (direct):
Ru 0.0000 0.0000 0.0000  2 Se 2.32, 4 Br 2.54
Se 0.0000 0.0000 0.5000  2 Ru 2.32
Br 0.0000 0.5000 0.0000  2 Ru 2.54
Br 0.5000 0.0000 0.0000  2 Ru 2.54
N 0.5000 0.5000 0.5000  8 Br 3.44, 4 Se 3.59